Entry from the Alexandria database: a geometry-optimized TbZrPt structure (PBE). Values from VASP.

```
&SYSTEM
  ibrav = 0, nat = 12, ntyp = 3
/
ATOMIC_SPECIES
Tb 158.93 Tb.upf
Pt 195.08 Pt.upf
Zr 91.22 Zr.upf
CELL_PARAMETERS angstrom
-2.1273 -5.1064 -2.2541
2.8051 -0.1059 -6.5666
5.3747 -4.5682 1.1156
ATOMIC_POSITIONS crystal
Tb 0.2468 0.6607 0.9104
Tb 0.7535 0.8395 0.5892
Tb 0.7532 0.3393 0.0896
Tb 0.2465 0.1605 0.4108
Pt 0.0743 0.4403 0.6902
Pt 0.0742 0.9401 0.1902
Pt 0.9257 0.5597 0.3098
Pt 0.9258 0.0599 0.8098
Zr 0.6709 0.3505 0.6005
Zr 0.6710 0.8502 0.1001
Zr 0.3291 0.6495 0.3995
Zr 0.3290 0.1498 0.8999
```

For the total magnetic moment, the calculation gives 0.000 μB per atom. Its energy is -85.2 eV per cell. The energy above the most stable polymorph in this dataset is 0.127 eV/atom. The density of states at the Fermi level is 3.7 states/eV/f.u. The crystal system is monoclinic.

Entry from the Alexandria database: a geometry-optimized KTa2MoOs structure (PBE). Values from VASP.

```
&SYSTEM
  ibrav = 0, nat = 5, ntyp = 4
/
ATOMIC_SPECIES
Mo 95.94 Mo.upf
Os 190.23 Os.upf
K 39.10 K.upf
Ta 180.95 Ta.upf
CELL_PARAMETERS angstrom
4.9368 0.0000 0.0000
0.0000 4.8686 0.0000
0.0000 0.0000 4.9368
ATOMIC_POSITIONS crystal
Mo 0.0000 0.0000 0.0000
Os 0.0000 0.5000 0.0000
K 0.5000 0.5000 0.5000
Ta 0.0000 0.0000 0.5000
Ta 0.5000 0.0000 0.0000
```

For the total magnetic moment, the calculation gives 0.000 μB per atom. Its energy is -38.8 eV per cell. The density of states at the Fermi level is 4.3 states/eV/f.u. The crystal system is tetragonal.

Entry from the Alexandria database: a geometry-optimized BaAl2Tl2 structure (PBE). Values from VASP.

```
&SYSTEM
  ibrav = 0, nat = 5, ntyp = 3
/
ATOMIC_SPECIES
Tl 204.38 Tl.upf
Ba 137.33 Ba.upf
Al 26.98 Al.upf
CELL_PARAMETERS angstrom
-4.1388 -0.4751 2.8010
-0.5351 -4.7304 -1.5931
0.7929 -4.4109 4.9218
ATOMIC_POSITIONS crystal
Tl 0.7500 0.2500 0.5000
Tl 0.2500 0.7500 0.5000
Ba 0.0000 0.0000 0.0000
Al 0.3830 0.3830 0.2340
Al 0.6170 0.6170 0.7660
```

For the total magnetic moment, the calculation gives 0.000 μB per atom. Its energy is -15.0 eV per cell. The energy above the most stable polymorph in this dataset is 0.000 eV/atom. The density of states at the Fermi level is 1.7 states/eV/f.u. The crystal system is tetragonal.

Entry from the Alexandria database: a geometry-optimized LiAg2 structure (PBE). Values from VASP.

```
&SYSTEM
  ibrav = 0, nat = 6, ntyp = 2
/
ATOMIC_SPECIES
Ag 107.87 Ag.upf
Li 6.94 Li.upf
CELL_PARAMETERS angstrom
-1.8502 4.3942 1.4650
-2.1939 -2.5395 -3.6900
-2.7585 -2.2169 3.1657
ATOMIC_POSITIONS crystal
Ag 0.5059 0.8371 0.2500
Ag 0.4941 0.1629 0.7500
Ag 0.8371 0.5059 0.2500
Ag 0.1629 0.4941 0.7500
Li 0.1802 0.1802 0.2500
Li 0.8198 0.8198 0.7500
```

For the total magnetic moment, the calculation gives 0.000 μB per atom. Its energy is -16.2 eV per cell. The energy above the most stable polymorph in this dataset is 0.004 eV/atom. The density of states at the Fermi level is 0.7 states/eV/f.u. The crystal system is orthorhombic.

Entry from the Alexandria database: a geometry-optimized K3Y2ZrS6 structure (PBE). Values from VASP.

```
&SYSTEM
  ibrav = 0, nat = 12, ntyp = 4
/
ATOMIC_SPECIES
K 39.10 K.upf
Y 88.91 Y.upf
Zr 91.22 Zr.upf
S 32.06 S.upf
CELL_PARAMETERS angstrom
-0.0522 6.4569 2.2874
-4.7216 -2.0750 -4.5085
-2.8389 -3.4712 6.3084
ATOMIC_POSITIONS crystal
K 0.1691 0.8309 0.5000
K 0.8309 0.1691 0.5000
K 0.5000 0.5000 0.5000
Y 0.3335 0.6665 0.0000
Y 0.6665 0.3335 0.0000
Zr 0.0000 0.0000 0.0000
S 0.9326 0.6122 0.7980
S 0.7474 0.7474 0.2025
S 0.0674 0.3878 0.2020
S 0.6122 0.9326 0.7980
S 0.2526 0.2526 0.7975
S 0.3878 0.0674 0.2020
```

For the total magnetic moment, the calculation gives 0.000 μB per atom. Its energy is -70.3 eV per cell. The density of states at the Fermi level is 4.3 states/eV/f.u. The crystal system is monoclinic. As for the energy relative to the elements, uncorrected: -1732.4 meV per atom.

Entry from the Alexandria database: a geometry-optimized MgGeOs2 structure (PBE). Values from VASP.

```
&SYSTEM
  ibrav = 0, nat = 8, ntyp = 3
/
ATOMIC_SPECIES
Ge 72.64 Ge.upf
Os 190.23 Os.upf
Mg 24.30 Mg.upf
CELL_PARAMETERS angstrom
7.4076 0.0000 0.0000
0.0000 7.4076 0.0000
3.7038 3.7038 2.5202
ATOMIC_POSITIONS crystal
Ge 0.0000 0.0000 0.0000
Ge 0.7500 0.2500 0.5000
Os 0.6846 0.1250 0.2500
Os 0.0654 0.6250 0.2500
Os 0.3750 0.3154 0.7500
Os 0.8750 0.9346 0.7500
Mg 0.5000 0.5000 0.0000
Mg 0.2500 0.7500 0.5000
```

For the total magnetic moment, the calculation gives 0.000 μB per atom. Its energy is -52.1 eV per cell. The density of states at the Fermi level is 2.9 states/eV/f.u. The crystal system is tetragonal.

Entry from the Alexandria database: a geometry-optimized ScCd2Ir structure (PBE). Values from VASP.

```
&SYSTEM
  ibrav = 0, nat = 4, ntyp = 3
/
ATOMIC_SPECIES
Cd 112.41 Cd.upf
Ir 192.22 Ir.upf
Sc 44.96 Sc.upf
CELL_PARAMETERS angstrom
5.2191 -0.0139 0.0000
-2.2587 4.7050 0.0000
0.0000 0.0000 3.0970
ATOMIC_POSITIONS crystal
Cd 0.0000 0.0000 0.0000
Cd 0.5000 0.5000 0.0000
Ir 0.5000 0.0000 0.5000
Sc 0.0000 0.5000 0.5000
```

For the total magnetic moment, the calculation gives 0.000 μB per atom. Its energy is -17.3 eV per cell. The density of states at the Fermi level is 1.7 states/eV/f.u. The crystal system is orthorhombic.

Entry from the Alexandria database: a geometry-optimized TaTi3P structure (PBE). Values from VASP.

```
&SYSTEM
  ibrav = 0, nat = 5, ntyp = 3
/
ATOMIC_SPECIES
P 30.97 P.upf
Ti 47.87 Ti.upf
Ta 180.95 Ta.upf
CELL_PARAMETERS angstrom
-0.5639 4.7306 -0.3094
-4.6833 -0.5076 0.7756
0.7357 0.3951 4.7005
ATOMIC_POSITIONS crystal
P 0.5000 0.5000 0.5000
Ti 0.0000 0.5000 0.0000
Ti 0.0000 0.0000 0.5000
Ti 0.5000 0.0000 0.0000
Ta 0.0000 0.0000 0.0000
```

For the total magnetic moment, the calculation gives 0.431 μB per atom. Its energy is -35.1 eV per cell. The energy above the most stable polymorph in this dataset is 1.222 eV/atom. The density of states at the Fermi level is 5.3 states/eV/f.u. The crystal system is cubic.

Entry from the Alexandria database: a geometry-optimized RbSn4Hg structure (PBE). Values from VASP.

```
&SYSTEM
  ibrav = 0, nat = 6, ntyp = 3
/
ATOMIC_SPECIES
Hg 200.59 Hg.upf
Rb 85.47 Rb.upf
Sn 118.71 Sn.upf
CELL_PARAMETERS angstrom
6.4245 0.0000 0.0000
3.2123 5.5638 0.0000
3.2123 1.8546 5.2456
ATOMIC_POSITIONS crystal
Hg 0.2500 0.2500 0.2500
Rb 0.0000 0.0000 0.0000
Sn 0.6244 0.6244 0.1269
Sn 0.6244 0.1269 0.6244
Sn 0.6244 0.6244 0.6244
Sn 0.1269 0.6244 0.6244
```

For the total magnetic moment, the calculation gives 0.000 μB per atom. Its energy is -17.2 eV per cell. The density of states at the Fermi level is 5.6 states/eV/f.u. The crystal system is cubic.

Entry from the Alexandria database: a geometry-optimized LiVS2Cl structure (PBE). Values from VASP.

```
&SYSTEM
  ibrav = 0, nat = 5, ntyp = 4
/
ATOMIC_SPECIES
S 32.06 S.upf
Cl 35.45 Cl.upf
Li 6.94 Li.upf
V 50.94 V.upf
CELL_PARAMETERS angstrom
4.5478 0.0000 0.0000
0.0000 4.5478 0.0000
0.0000 0.0000 5.0842
ATOMIC_POSITIONS crystal
S 0.0000 0.5000 0.0000
S 0.5000 0.0000 0.0000
Cl 0.0000 0.0000 0.5000
Li 0.5000 0.5000 0.5000
V 0.0000 0.0000 0.0000
```

For the total magnetic moment, the calculation gives 0.208 μB per atom. Its energy is -24.8 eV per cell. The energy above the most stable polymorph in this dataset is 0.000 eV/atom. The density of states at the Fermi level is 2.1 states/eV/f.u. The crystal system is tetragonal. As for the energy relative to the elements, uncorrected: -727.5 meV per atom.

Entry from the Alexandria database: a geometry-optimized Zr6MoRh3 structure (PBE). Values from VASP.

```
&SYSTEM
  ibrav = 0, nat = 10, ntyp = 3
/
ATOMIC_SPECIES
Zr 91.22 Zr.upf
Mo 95.94 Mo.upf
Rh 102.91 Rh.upf
CELL_PARAMETERS angstrom
7.0054 0.0000 0.0000
3.5027 6.0668 0.0000
3.5027 2.0223 5.7199
ATOMIC_POSITIONS crystal
Zr 0.7503 0.7503 0.2497
Zr 0.2497 0.7503 0.7503
Zr 0.2497 0.7503 0.2497
Zr 0.7503 0.2497 0.2497
Zr 0.7503 0.2497 0.7503
Zr 0.2497 0.2497 0.7503
Mo 0.0000 0.0000 0.0000
Rh 0.7500 0.7500 0.7500
Rh 0.2500 0.2500 0.2500
Rh 0.5000 0.5000 0.5000
```

For the total magnetic moment, the calculation gives 0.000 μB per atom. Its energy is -77.9 eV per cell. The density of states at the Fermi level is 15.3 states/eV/f.u. The crystal system is cubic.

Entry from the Alexandria database: a geometry-optimized OsRu3S structure (PBE). Values from VASP.

```
&SYSTEM
  ibrav = 0, nat = 5, ntyp = 3
/
ATOMIC_SPECIES
Ru 101.07 Ru.upf
S 32.06 S.upf
Os 190.23 Os.upf
CELL_PARAMETERS angstrom
-2.5235 1.6134 3.6287
-3.7646 0.3968 -2.7944
-1.2642 -4.4021 1.0780
ATOMIC_POSITIONS crystal
Ru 0.0000 0.5000 0.0000
Ru 0.0000 0.0000 0.5000
Ru 0.5000 0.0000 0.0000
S 0.5000 0.5000 0.5000
Os 0.0000 0.0000 0.0000
```

For the total magnetic moment, the calculation gives 0.608 μB per atom. Its energy is -33.4 eV per cell. The energy above the most stable polymorph in this dataset is 0.968 eV/atom. The density of states at the Fermi level is 7.6 states/eV/f.u. The crystal system is cubic. As for the energy relative to the elements, uncorrected: 1951.4 meV per atom.

- Among the records above, which one has the lowest energy?
  TbZrPt